DFT (GGA-PBE) results for a relaxed structure of Gd2DyIn.

```
Gd2DyIn
1.0
-1.287 2.040 4.206
-3.893 -2.883 0.207
2.604 -3.344 2.419
Dy Gd In
1 2 1
Direct
0.000 0.000 0.000 Dy
0.500 0.000 0.500 Gd
0.000 0.500 0.500 Gd
0.500 0.500 0.000 In
```

Magnetization ... 0.03 μB per atom
Total DFT energy (no corrections) ... -4.44 eV per atom
ρ ... 8567 kg/m3